# 1
The following is a DFT calculation (PBE) of crystalline LaSmSn2 at its relaxed geometry.

Results
The calculation puts the formation energy at -0.78 eV per atom. The calculated volume is 30.720 A^3/atom. Its symmetry is Amm2. The raw total energy is -20.8 eV per cell.

Structure (CIF):
```
data_LaSmSn2
_cell_length_a 4.722
_cell_length_b 4.405
_cell_length_c 6.361
_cell_angle_alpha 90.00
_cell_angle_beta 111.77
_cell_angle_gamma 90.00
_symmetry_space_group_name_H-M 'P 1'
_symmetry_Int_Tables_number 1
_symmetry_space_group_name_Hall 'P 1'
loop_
_atom_site_label
_atom_site_type_symbol
_atom_site_fract_x
_atom_site_fract_y
_atom_site_fract_z
La1 La 0.447 0.500 0.432
Sm1 Sm 0.717 0.000 0.974
Sn1 Sn 0.172 0.500 0.884
Sn2 Sn 0.995 0.000 0.529
```



# 2
The following is a DFT calculation (PBE) of crystalline PuGe2 at its relaxed geometry.

Results
The calculation puts the formation energy at -0.31 eV per atom. The calculated volume is 21.787 A^3/atom. Its symmetry is I4_1/amd. The raw total energy is -49.0 eV per cell.

Structure (CIF):
```
data_PuGe2
_cell_length_a 8.581
_cell_length_b 8.581
_cell_length_c 8.581
_cell_angle_alpha 152.92
_cell_angle_beta 152.92
_cell_angle_gamma 38.67
_symmetry_space_group_name_H-M 'P 1'
_symmetry_Int_Tables_number 1
_symmetry_space_group_name_Hall 'P 1'
loop_
_atom_site_label
_atom_site_type_symbol
_atom_site_fract_x
_atom_site_fract_y
_atom_site_fract_z
Pu1 Pu 0.250 0.750 0.500
Pu2 Pu 0.500 0.500 0.000
Ge1 Ge 0.830 0.330 0.500
Ge2 Ge 0.080 0.080 0.000
Ge3 Ge 0.670 0.170 0.500
Ge4 Ge 0.920 0.920 0.000
```



# 3
The following is a DFT calculation (PBE) of crystalline CaPmTlBi at its relaxed geometry.

Results
The calculation puts the formation energy at -0.49 eV per atom. The calculated volume is 30.473 A^3/atom. Its symmetry is F-43m. The raw total energy is -15.0 eV per cell.

Structure (CIF):
```
data_CaPmTlBi
_cell_length_a 5.565
_cell_length_b 5.565
_cell_length_c 5.565
_cell_angle_alpha 60.00
_cell_angle_beta 60.00
_cell_angle_gamma 60.00
_symmetry_space_group_name_H-M 'P 1'
_symmetry_Int_Tables_number 1
_symmetry_space_group_name_Hall 'P 1'
loop_
_atom_site_label
_atom_site_type_symbol
_atom_site_fract_x
_atom_site_fract_y
_atom_site_fract_z
Tl1 Tl 0.750 0.750 0.750
Ca1 Ca 0.500 0.500 0.500
Bi1 Bi 0.250 0.250 0.250
Pm1 Pm 0.000 0.000 0.000
```